1.
Material: AgMo2Se
Method: DFT, PBE
State: optimized geometry

Its density of states at the Fermi level is 3.65 states/eV per cell. For the total energy, the calculation gives -26.37 eV per cell.

The structure belongs to space group P4/mmm (No. 123); the cell edges are 3.0708, 3.0708 and 6.8613 Å and the angles 90.00°, 90.00° and 90.00°. The inequivalent atoms are Ag at (0.0000, 0.0000, 0.0000), Mo at (0.5000, 0.5000, 0.2816) and Se at (0.0000, 0.0000, 0.5000).

***

2.
Material: AgMoSe2
Method: DFT, PBE
State: optimized geometry

Its density of states at the Fermi level is 5.37 states/eV per cell. For the total energy, the calculation gives -39.07 eV per cell. The energy above the most stable polymorph in this dataset is 465 meV/atom.

The structure belongs to space group Cmmm (No. 65); the cell edges are 3.1341, 5.0224 and 10.6154 Å and the angles 90.00°, 90.00° and 90.00°. The inequivalent atoms are Ag at (0.0000, 0.0000, 0.0000), Mo at (0.0000, 0.0000, 0.5000) and Se at (0.0000, 0.5000, 0.3068).

***

3.
Material: YAg2MoSe
Method: DFT, PBE
State: optimized geometry

Its density of states at the Fermi level is 3.09 states/eV per cell. For the total energy, the calculation gives -23.90 eV per cell.

The structure belongs to space group P4/mmm (No. 123); the cell edges are 4.9456, 4.9456 and 4.7597 Å and the angles 90.00°, 90.00° and 90.00°. The inequivalent atoms are Y at (0.0000, 0.0000, 0.0000), Ag at (0.0000, 0.5000, 0.5000), Mo at (0.5000, 0.5000, 0.0000) and Se at (0.5000, 0.5000, 0.5000).

***

4.
Material: Si2AgMo
Method: DFT, PBE
State: optimized geometry

Its density of states at the Fermi level is 2.19 states/eV per cell. For the total energy, the calculation gives -23.80 eV per cell. The energy above the most stable polymorph in this dataset is 110 meV/atom.

The structure belongs to space group P4/mmm (No. 123); the cell edges are 4.2884, 4.2884 and 3.2269 Å and the angles 90.00°, 90.00° and 90.00°. The inequivalent atoms are Si at (0.0000, 0.5000, 0.0000), Ag at (0.0000, 0.0000, 0.5000) and Mo at (0.5000, 0.5000, 0.5000).

***

5.
Material: SiAgMo4
Method: DFT, PBE
State: optimized geometry

Its density of states at the Fermi level is 30.10 states/eV per cell. For the total energy, the calculation gives -190.94 eV per cell.

The structure belongs to space group F-43m (No. 216); the cell edges are 7.3980, 7.3980 and 7.3980 Å and the angles 90.00°, 90.00° and 90.00°. The inequivalent atoms are Si at (0.0000, 0.0000, 0.0000), Ag at (0.2500, 0.2500, 0.7500) and Mo at (0.1239, 0.1239, 0.3761).

***

6.
Material: Si2AgMo
Method: DFT, PBE
State: optimized geometry

Its density of states at the Fermi level is 14.65 states/eV per cell. For the total energy, the calculation gives -88.04 eV per cell. The energy above the most stable polymorph in this dataset is 557 meV/atom.

The structure belongs to space group F-43m (No. 216); the cell edges are 6.3004, 6.3004 and 6.3004 Å and the angles 90.00°, 90.00° and 90.00°. The inequivalent atoms are Si at (0.0000, 0.0000, 0.0000), Si at (0.2500, 0.2500, 0.2500), Ag at (0.0000, 0.0000, 0.5000) and Mo at (0.2500, 0.2500, 0.7500).